(1)
VASP calculation (PBE) on a relaxed Sr3YNb crystal.

abc: 5.9493 5.9493 5.9493
angles: 90.00 90.00 90.00
Closest atoms and distances in Å follow each position.
Fractional positions:
Sr (0.0000, 0.0000, 0.5000)  2 Nb 2.97
Sr (0.0000, 0.5000, 0.0000)  2 Nb 2.97
Sr (0.5000, 0.0000, 0.0000)  2 Nb 2.97
Y (0.5000, 0.5000, 0.5000)  12 Sr 4.21
Nb (0.0000, 0.0000, 0.0000)  6 Sr 2.97

Values from the calculation:
Energy above the lowest structure with this stoichiometry (meV per atom): 0
Size of the total moment (μB per formula unit): 1.53
Raw total energy (eV/f.u.): -16.73

(2)
VASP calculation (PBE) on a relaxed Sr3YNb crystal.

abc: 6.0372 6.0372 6.0372
angles: 90.00 90.00 90.00
Closest atoms and distances in Å follow each position.
Fractional positions:
Sr (0.0000, 0.0000, 0.5000)  2 Y 3.02
Sr (0.0000, 0.5000, 0.0000)  2 Y 3.02
Sr (0.5000, 0.0000, 0.0000)  2 Y 3.02
Y (0.0000, 0.0000, 0.0000)  6 Sr 3.02
Nb (0.5000, 0.5000, 0.5000)  12 Sr 4.27

Values from the calculation:
Energy above the lowest structure with this stoichiometry (meV per atom): 752
Size of the total moment (μB per formula unit): 1.20
Raw total energy (eV/f.u.): -12.97

(3)
VASP calculation (PBE) on a relaxed Sr2Y2Nb crystal.

abc: 8.0606 8.0606 5.2461
angles: 90.00 90.00 90.00
Closest atoms and distances in Å follow each position.
Fractional positions:
Sr (0.1418, 0.3582, 0.0000)  2 Nb 3.11, 1 Sr 3.23, 2 Y 3.31
Sr (0.3582, 0.8582, 0.0000)  2 Nb 3.11, 1 Sr 3.23, 2 Y 3.31
Sr (0.6418, 0.1418, 0.0000)  2 Nb 3.11, 1 Sr 3.23, 2 Y 3.31
Sr (0.8582, 0.6418, 0.0000)  2 Nb 3.11, 1 Sr 3.23, 2 Y 3.31
Y (0.1805, 0.6805, 0.5000)  6 Sr 3.31-3.70
Y (0.3195, 0.1805, 0.5000)  6 Sr 3.31-3.70
Y (0.6805, 0.8195, 0.5000)  6 Sr 3.31-3.70
Y (0.8195, 0.3195, 0.5000)  6 Sr 3.31-3.70
Nb (0.0000, 0.0000, 0.0000)  4 Sr 3.11
Nb (0.5000, 0.5000, 0.0000)  4 Sr 3.11

Values from the calculation:
Energy above the lowest structure with this stoichiometry (meV per atom): 3
Size of the total moment (μB per formula unit): 1.52
Raw total energy (eV/f.u.): -21.64

(4)
VASP calculation (PBE) on a relaxed SrYNb3 crystal.

abc: 5.1605 5.1605 5.1605
angles: 90.00 90.00 90.00
Closest atoms and distances in Å follow each position.
Fractional positions:
Sr (0.0000, 0.0000, 0.0000)  12 Nb 3.65
Y (0.5000, 0.5000, 0.5000)  6 Nb 2.58
Nb (0.0000, 0.5000, 0.5000)  2 Y 2.58
Nb (0.5000, 0.0000, 0.5000)  2 Y 2.58
Nb (0.5000, 0.5000, 0.0000)  2 Y 2.58

Values from the calculation:
Energy above the lowest structure with this stoichiometry (meV per atom): 0
Size of the total moment (μB per formula unit): 0.00
Raw total energy (eV/f.u.): -29.86

(5)
VASP calculation (PBE) on a relaxed SrY3Nb crystal.

abc: 5.6142 5.6142 5.6142
angles: 90.00 90.00 90.00
Closest atoms and distances in Å follow each position.
Fractional positions:
Sr (0.0000, 0.0000, 0.0000)  12 Y 3.97
Y (0.0000, 0.5000, 0.5000)  2 Nb 2.81
Y (0.5000, 0.0000, 0.5000)  2 Nb 2.81
Y (0.5000, 0.5000, 0.0000)  2 Nb 2.81
Nb (0.5000, 0.5000, 0.5000)  6 Y 2.81

Values from the calculation:
Size of the total moment (μB per formula unit): 0.00
Raw total energy (eV/f.u.): -29.24

(6)
VASP calculation (PBE) on a relaxed Sr2Y2Nb crystal.

abc: 10.5960 10.5960 10.5960
angles: 156.19 156.19 33.92
Closest atoms and distances in Å follow each position.
Fractional positions:
Sr (0.0901, 0.0901, 0.0000)  4 Nb 3.59, 1 Sr 3.65, 4 Y 3.91
Sr (0.9099, 0.9099, 0.0000)  4 Nb 3.59, 1 Sr 3.65, 4 Y 3.91
Y (0.2500, 0.7500, 0.5000)  4 Y 3.09
Y (0.7500, 0.2500, 0.5000)  4 Y 3.09
Nb (0.5000, 0.5000, 0.0000)  8 Sr 3.59

Values from the calculation:
Energy above the lowest structure with this stoichiometry (meV per atom): 0
Size of the total moment (μB per formula unit): 3.40
Raw total energy (eV/f.u.): -21.66

(7)
VASP calculation (PBE) on a relaxed SrY2ZrNb crystal.

abc: 5.3981 5.3981 5.6740
angles: 90.00 90.00 90.00
Closest atoms and distances in Å follow each position.
Fractional positions:
Sr (0.0000, 0.0000, 0.0000)  2 Nb 2.84
Y (0.0000, 0.5000, 0.5000)  2 Nb 2.70
Y (0.5000, 0.0000, 0.5000)  2 Nb 2.70
Zr (0.5000, 0.5000, 0.0000)  4 Sr 3.82, 8 Y 3.92
Nb (0.0000, 0.0000, 0.5000)  4 Y 2.70, 2 Sr 2.84

Values from the calculation:
Size of the total moment (μB per formula unit): 1.60
Raw total energy (eV/f.u.): -28.16

(8)
VASP calculation (PBE) on a relaxed SrNb3Zn crystal.

abc: 4.8752 4.8752 4.8752
angles: 90.00 90.00 90.00
Closest atoms and distances in Å follow each position.
Fractional positions:
Sr (0.0000, 0.0000, 0.0000)  6 Nb 2.44
Nb (0.0000, 0.0000, 0.5000)  2 Sr 2.44
Nb (0.0000, 0.5000, 0.0000)  2 Sr 2.44
Nb (0.5000, 0.0000, 0.0000)  2 Sr 2.44
Zn (0.5000, 0.5000, 0.5000)  12 Nb 3.45

Values from the calculation:
Energy above the lowest structure with this stoichiometry (meV per atom): 1288
Size of the total moment (μB per formula unit): 0.00
Raw total energy (eV/f.u.): -20.66

(9)
VASP calculation (PBE) on a relaxed SrNb2Zn crystal.

abc: 10.7063 10.7063 10.7063
angles: 154.59 154.59 36.24
Closest atoms and distances in Å follow each position.
Fractional positions:
Sr (0.0000, 0.0000, 0.0000)  4 Zn 3.33, 4 Nb 3.51
Sr (0.7500, 0.2500, 0.5000)  4 Zn 3.33, 4 Nb 3.51
Nb (0.3224, 0.1250, 0.6974)  2 Nb 2.41
Nb (0.3750, 0.6776, 0.8026)  2 Nb 2.41
Nb (0.4276, 0.6250, 0.3026)  2 Nb 2.41
Nb (0.8750, 0.5724, 0.1974)  2 Nb 2.41
Zn (0.2500, 0.7500, 0.5000)  4 Nb 2.81
Zn (0.5000, 0.5000, 0.0000)  4 Nb 2.81

Values from the calculation:
Size of the total moment (μB per formula unit): 0.00
Raw total energy (eV/f.u.): -19.62

(10)
VASP calculation (PBE) on a relaxed Sr2NbZn crystal.

abc: 6.9925 6.9925 6.9925
angles: 102.09 102.09 125.52
Closest atoms and distances in Å follow each position.
Fractional positions:
Sr (0.0953, 0.1250, 0.4703)  2 Zn 3.04, 2 Sr 3.24, 2 Nb 3.39
Sr (0.3750, 0.9047, 0.0297)  2 Zn 3.04, 2 Sr 3.24, 2 Nb 3.39
Sr (0.6547, 0.6250, 0.5297)  2 Zn 3.04, 2 Sr 3.24, 2 Nb 3.39
Sr (0.8750, 0.3453, 0.9703)  2 Zn 3.04, 2 Sr 3.24, 2 Nb 3.39
Nb (0.2500, 0.7500, 0.5000)  2 Zn 3.20, 4 Sr 3.39
Nb (0.5000, 0.5000, 0.0000)  2 Zn 3.20, 4 Sr 3.39
Zn (0.0000, 0.0000, 0.0000)  4 Sr 3.04, 2 Nb 3.20
Zn (0.7500, 0.2500, 0.5000)  4 Sr 3.04, 2 Nb 3.20

Values from the calculation:
Size of the total moment (μB per formula unit): 3.02
Raw total energy (eV/f.u.): -11.40

(11)
VASP calculation (PBE) on a relaxed SrNbZn3 crystal.

abc: 5.0829 5.0829 5.0829
angles: 90.00 90.00 90.00
Closest atoms and distances in Å follow each position.
Fractional positions:
Sr (0.0000, 0.0000, 0.0000)  12 Zn 3.59
Nb (0.5000, 0.5000, 0.5000)  6 Zn 2.54
Zn (0.0000, 0.5000, 0.5000)  2 Nb 2.54
Zn (0.5000, 0.0000, 0.5000)  2 Nb 2.54
Zn (0.5000, 0.5000, 0.0000)  2 Nb 2.54

Values from the calculation:
Energy above the lowest structure with this stoichiometry (meV per atom): 0
Size of the total moment (μB per formula unit): 0.01
Raw total energy (eV/f.u.): -13.71

(12)
VASP calculation (PBE) on a relaxed SrNb2Zn2 crystal.

abc: 8.3754 8.3754 2.9374
angles: 90.00 90.00 90.00
Closest atoms and distances in Å follow each position.
Fractional positions:
Sr (0.0000, 0.0000, 0.0000)  2 Sr 2.94, 4 Zn 3.09
Sr (0.5000, 0.5000, 0.0000)  2 Sr 2.94, 4 Zn 3.09
Nb (0.1163, 0.3837, 0.5000)  3 Nb 2.76-2.94, 6 Zn 2.88-2.89
Nb (0.3837, 0.8837, 0.5000)  3 Nb 2.76-2.94, 6 Zn 2.88-2.89
Nb (0.6163, 0.1163, 0.5000)  3 Nb 2.76-2.94, 6 Zn 2.88-2.89
Nb (0.8837, 0.6163, 0.5000)  3 Nb 2.76-2.94, 6 Zn 2.88-2.89
Zn (0.1747, 0.6747, 0.0000)  6 Nb 2.88-2.89, 2 Zn 2.94, 2 Sr 3.09
Zn (0.3253, 0.1747, 0.0000)  6 Nb 2.88-2.89, 2 Zn 2.94, 2 Sr 3.09
Zn (0.6747, 0.8253, 0.0000)  6 Nb 2.88-2.89, 2 Zn 2.94, 2 Sr 3.09
Zn (0.8253, 0.3253, 0.0000)  6 Nb 2.88-2.89, 2 Zn 2.94, 2 Sr 3.09

Values from the calculation:
Size of the total moment (μB per formula unit): 0.01
Raw total energy (eV/f.u.): -22.74

(13)
VASP calculation (PBE) on a relaxed SrNb3Zn crystal.

abc: 4.9492 4.9492 4.9492
angles: 90.00 90.00 90.00
Closest atoms and distances in Å follow each position.
Fractional positions:
Sr (0.0000, 0.0000, 0.0000)  12 Nb 3.50
Nb (0.0000, 0.5000, 0.5000)  2 Zn 2.47
Nb (0.5000, 0.0000, 0.5000)  2 Zn 2.47
Nb (0.5000, 0.5000, 0.0000)  2 Zn 2.47
Zn (0.5000, 0.5000, 0.5000)  6 Nb 2.47

Values from the calculation:
Energy above the lowest structure with this stoichiometry (meV per atom): 0
Size of the total moment (μB per formula unit): 0.00
Raw total energy (eV/f.u.): -27.10

(14)
VASP calculation (PBE) on a relaxed SrNbZn3 crystal.

abc: 5.1532 5.1532 5.1532
angles: 90.00 90.00 90.00
Closest atoms and distances in Å follow each position.
Fractional positions:
Sr (0.0000, 0.0000, 0.0000)  6 Zn 2.58
Nb (0.5000, 0.5000, 0.5000)  12 Zn 3.64
Zn (0.0000, 0.0000, 0.5000)  2 Sr 2.58
Zn (0.0000, 0.5000, 0.0000)  2 Sr 2.58
Zn (0.5000, 0.0000, 0.0000)  2 Sr 2.58

Values from the calculation:
Energy above the lowest structure with this stoichiometry (meV per atom): 1309
Size of the total moment (μB per formula unit): 0.00
Raw total energy (eV/f.u.): -7.16

(15)
VASP calculation (PBE) on a relaxed SrZrNb2 crystal.

abc: 10.6738 10.6738 10.6738
angles: 152.80 152.80 38.84
Closest atoms and distances in Å follow each position.
Fractional positions:
Sr (0.3750, 0.6250, 0.7500)  4 Zr 3.55, 8 Nb 3.77
Sr (0.6250, 0.3750, 0.2500)  4 Zr 3.55, 8 Nb 3.77
Zr (0.1250, 0.8750, 0.2500)  4 Nb 2.81
Zr (0.8750, 0.1250, 0.7500)  4 Nb 2.81
Nb (0.0000, 0.0000, 0.0000)  2 Nb 2.51
Nb (0.0000, 0.0000, 0.5000)  2 Nb 2.51
Nb (0.0000, 0.5000, 0.0000)  2 Nb 2.51
Nb (0.5000, 0.0000, 0.5000)  2 Nb 2.51

Values from the calculation:
Energy above the lowest structure with this stoichiometry (meV per atom): 347
Size of the total moment (μB per formula unit): 0.00
Raw total energy (eV/f.u.): -25.50

(16)
VASP calculation (PBE) on a relaxed SrZr2Nb crystal.

abc: 10.3065 10.3065 10.3065
angles: 149.82 149.82 43.21
Closest atoms and distances in Å follow each position.
Fractional positions:
Sr (0.3750, 0.6250, 0.7500)  4 Nb 3.79, 8 Zr 3.84
Sr (0.6250, 0.3750, 0.2500)  4 Nb 3.79, 8 Zr 3.84
Zr (0.0000, 0.0000, 0.0000)  2 Zr 2.68, 2 Nb 2.75
Zr (0.0000, 0.0000, 0.5000)  2 Zr 2.68, 2 Nb 2.75
Zr (0.0000, 0.5000, 0.0000)  2 Zr 2.68, 2 Nb 2.75
Zr (0.5000, 0.0000, 0.5000)  2 Zr 2.68, 2 Nb 2.75
Nb (0.1250, 0.8750, 0.2500)  4 Zr 2.75
Nb (0.8750, 0.1250, 0.7500)  4 Zr 2.75

Values from the calculation:
Energy above the lowest structure with this stoichiometry (meV per atom): 620
Size of the total moment (μB per formula unit): 0.00
Raw total energy (eV/f.u.): -23.91

(17)
VASP calculation (PBE) on a relaxed SrZr2Nb crystal.

abc: 5.1540 5.1540 5.1540
angles: 60.00 60.00 60.00
Closest atoms and distances in Å follow each position.
Fractional positions:
Sr (0.0000, 0.0000, 0.0000)  8 Zr 3.16
Zr (0.2500, 0.2500, 0.2500)  4 Nb 3.16, 4 Sr 3.16
Zr (0.7500, 0.7500, 0.7500)  4 Nb 3.16, 4 Sr 3.16
Nb (0.5000, 0.5000, 0.5000)  8 Zr 3.16

Values from the calculation:
Energy above the lowest structure with this stoichiometry (meV per atom): 0
Size of the total moment (μB per formula unit): 0.00
Raw total energy (eV/f.u.): -26.39

(18)
VASP calculation (PBE) on a relaxed SrZrNb2 crystal.

abc: 5.0702 5.0702 5.0702
angles: 60.00 60.00 60.00
Closest atoms and distances in Å follow each position.
Fractional positions:
Sr (0.0000, 0.0000, 0.0000)  8 Nb 3.10
Zr (0.5000, 0.5000, 0.5000)  8 Nb 3.10
Nb (0.2500, 0.2500, 0.2500)  4 Zr 3.10, 4 Sr 3.10
Nb (0.7500, 0.7500, 0.7500)  4 Zr 3.10, 4 Sr 3.10

Values from the calculation:
Energy above the lowest structure with this stoichiometry (meV per atom): 0
Size of the total moment (μB per formula unit): 0.00
Raw total energy (eV/f.u.): -26.88

(19)
VASP calculation (PBE) on a relaxed Sr2ZrNb crystal.

abc: 5.6353 5.6353 5.6353
angles: 60.00 60.00 60.00
Closest atoms and distances in Å follow each position.
Fractional positions:
Sr (0.2500, 0.2500, 0.2500)  4 Nb 3.45, 4 Zr 3.45
Sr (0.7500, 0.7500, 0.7500)  4 Nb 3.45, 4 Zr 3.45
Zr (0.0000, 0.0000, 0.0000)  8 Sr 3.45
Nb (0.5000, 0.5000, 0.5000)  8 Sr 3.45

Values from the calculation:
Size of the total moment (μB per formula unit): 1.10
Raw total energy (eV/f.u.): -17.69

(20)
VASP calculation (PBE) on a relaxed SrZr2Nb crystal.

abc: 5.2081 5.2081 5.2081
angles: 60.00 60.00 60.00
Closest atoms and distances in Å follow each position.
Fractional positions:
Sr (0.0000, 0.0000, 0.0000)  4 Zr 3.19, 4 Nb 3.19
Zr (0.5000, 0.5000, 0.5000)  4 Nb 3.19, 4 Zr 3.19
Zr (0.7500, 0.7500, 0.7500)  4 Zr 3.19, 4 Sr 3.19
Nb (0.2500, 0.2500, 0.2500)  4 Zr 3.19, 4 Sr 3.19

Values from the calculation:
Energy above the lowest structure with this stoichiometry (meV per atom): 85
Size of the total moment (μB per formula unit): 0.02
Raw total energy (eV/f.u.): -26.04